# 1
! PBE ScTi2Nb, optimized geometry; values from VASP
&SYSTEM
  ibrav = 0, nat = 4, ntyp = 3
/
ATOMIC_SPECIES
Sc 44.96 Sc.upf
Nb 92.91 Nb.upf
Ti 47.87 Ti.upf
CELL_PARAMETERS angstrom
-3.553 -1.472 1.352
2.101 -2.528 2.769
-0.162 3.110 2.962
ATOMIC_POSITIONS angstrom
Sc -1.777 -0.736 0.676
Nb -0.807 -0.445 3.542
Ti -0.081 1.555 1.481
Ti 1.051 -1.264 1.385
! formation energy from the elements = 0.551 eV/f.u.
! DOS(E_F) = 6.1 states/eV/cell
! space-group type = P4/mmm
! crystal system = tetragonal

# 2
! PBE ScTi2Nb2, optimized geometry; values from VASP
&SYSTEM
  ibrav = 0, nat = 10, ntyp = 3
/
ATOMIC_SPECIES
Sc 44.96 Sc.upf
Nb 92.91 Nb.upf
Ti 47.87 Ti.upf
CELL_PARAMETERS angstrom
7.606 0.000 0.000
0.000 7.606 0.000
0.000 0.000 3.318
ATOMIC_POSITIONS angstrom
Sc 0.000 0.000 0.000
Sc 3.803 3.803 0.000
Nb 2.683 6.486 0.000
Nb 6.486 4.923 0.000
Nb 4.923 1.120 0.000
Nb 1.120 2.683 0.000
Ti 1.086 4.889 1.659
Ti 4.889 6.519 1.659
Ti 6.519 2.717 1.659
Ti 2.717 1.086 1.659
! formation energy from the elements = 0.824 eV/f.u.
! DOS(E_F) = 12.5 states/eV/cell
! space-group type = P4/mbm
! crystal system = tetragonal
! distance to the lowest polymorph of the same formula = 66 meV/atom

# 3
! PBE ScTiNb2, optimized geometry; values from VASP
&SYSTEM
  ibrav = 0, nat = 8, ntyp = 3
/
ATOMIC_SPECIES
Sc 44.96 Sc.upf
Nb 92.91 Nb.upf
Ti 47.87 Ti.upf
CELL_PARAMETERS angstrom
-0.280 2.588 6.892
3.617 -5.959 2.384
4.167 -0.332 4.232
ATOMIC_POSITIONS angstrom
Sc 1.668 -1.686 4.638
Sc 4.726 -3.988 5.627
Nb 1.315 0.824 5.756
Nb 3.271 -3.519 3.317
Nb 4.328 -1.433 6.620
Nb 6.094 -3.279 11.323
Ti 0.000 0.000 0.000
Ti 2.778 0.285 7.881
! formation energy from the elements = 2.212 eV/f.u.
! DOS(E_F) = 10.9 states/eV/cell
! space-group type = I-42d
! crystal system = tetragonal
! distance to the lowest polymorph of the same formula = 411 meV/atom

# 4
! PBE Sc2TiNb2, optimized geometry; values from VASP
&SYSTEM
  ibrav = 0, nat = 10, ntyp = 3
/
ATOMIC_SPECIES
Sc 44.96 Sc.upf
Nb 92.91 Nb.upf
Ti 47.87 Ti.upf
CELL_PARAMETERS angstrom
-6.201 1.515 2.196
1.707 -2.017 6.212
1.391 4.246 0.997
ATOMIC_POSITIONS angstrom
Sc 0.805 1.032 4.996
Sc -2.007 1.448 7.144
Sc -3.908 2.713 4.409
Sc -1.096 2.296 2.261
Nb -0.762 -1.189 6.129
Nb -4.236 0.010 5.866
Nb -3.732 0.687 2.279
Nb -0.257 -0.512 2.542
Ti 0.000 0.000 0.000
Ti -2.247 -0.251 4.204
! formation energy from the elements = 1.410 eV/f.u.
! DOS(E_F) = 12.2 states/eV/cell
! space-group type = P4/mbm
! crystal system = tetragonal

# 5
! PBE ScTiNb2, optimized geometry; values from VASP
&SYSTEM
  ibrav = 0, nat = 4, ntyp = 3
/
ATOMIC_SPECIES
Sc 44.96 Sc.upf
Nb 92.91 Nb.upf
Ti 47.87 Ti.upf
CELL_PARAMETERS angstrom
-1.544 -2.881 -0.409
2.909 -1.541 -0.121
-0.181 -0.888 6.941
ATOMIC_POSITIONS angstrom
Sc 0.592 -2.655 3.205
Nb -0.142 -0.697 5.443
Nb -0.039 -0.192 1.497
Ti 0.683 -2.211 -0.265
! formation energy from the elements = 0.569 eV/f.u.
! DOS(E_F) = 5.5 states/eV/cell
! space-group type = P4/mmm
! crystal system = tetragonal
! distance to the lowest polymorph of the same formula = 0 meV/atom

# 6
! PBE ScTiNbV, optimized geometry; values from VASP
&SYSTEM
  ibrav = 0, nat = 4, ntyp = 4
/
ATOMIC_SPECIES
Sc 44.96 Sc.upf
Nb 92.91 Nb.upf
Ti 47.87 Ti.upf
V 50.94 V.upf
CELL_PARAMETERS angstrom
4.689 0.000 0.000
2.344 4.061 0.000
2.344 1.354 3.829
ATOMIC_POSITIONS angstrom
Sc 7.033 4.061 2.871
Nb 2.344 1.354 0.957
Ti 0.000 0.000 0.000
V 4.689 2.707 1.914
! formation energy from the elements = 0.554 eV/f.u.
! DOS(E_F) = 3.3 states/eV/cell
! space-group type = F-43m
! crystal system = cubic